Entry from the Alexandria database: a relaxed Li2LaSc crystal (PBE).

- Total moment: 0.00 μB/cell
- Symmetry: Pmmm
- ΔE_f: 210.6 meV/atom

Cell: 3.5181 5.4044 5.4864 Å, 90.00 90.00 90.00°
Last column: nearest neighbours and their distance in Å.
Atoms (fractional coordinates):
Sc (0.5000, 0.0000, 0.5000)  4 La 3.22, 4 Li 3.26, 2 Sc 3.52
Li (0.5000, 0.5000, 0.0000)  6 Li 3.22-3.52, 4 La 3.26
La (0.0000, 0.5000, 0.5000)  4 Sc 3.22, 4 Li 3.26, 2 La 3.52
Li (0.0000, 0.0000, 0.0000)  6 Li 3.22-3.52, 4 Sc 3.26